1.
Here is NaMnRu3 after structural relaxation from Alexandria. Energies are from PBE.

E_form (eV per atom): 2.65
Relative energy among the computed polymorphs (meV per atom): 1475
Crystal system: cubic
Final energy (eV per atom): -5.0168

abc: 4.339 4.339 4.339
angles: 90.00 90.00 90.00
Fractional coordinates of all 5 atoms:
Ru 0.000 0.500 0.000
Ru 0.000 0.000 0.500
Ru 0.500 0.000 0.000
Mn 0.500 0.500 0.500
Na 0.000 0.000 0.000

=====

2.
Here is Rb3SmTm3Te8 after structural relaxation from Alexandria. Energies are from PBE.

Crystal system: trigonal
Final energy (eV per atom): -4.3787
Formation energy (no corrections) (eV/atom): -1.3007

abc: 8.785 8.790 10.165
angles: 115.64 90.00 119.99
Fractional coordinates of all 15 atoms:
Rb 0.000 0.000 0.000
Rb 0.000 0.500 0.000
Rb 0.500 0.500 0.000
Sm 0.000 0.000 0.500
Tm 0.500 0.000 0.500
Tm 0.500 0.500 0.500
Tm 0.000 0.500 0.500
Te 0.268 0.535 0.303
Te 0.732 0.465 0.697
Te 0.761 0.523 0.300
Te 0.239 0.477 0.700
Te 0.761 0.038 0.300
Te 0.239 0.962 0.700
Te 0.277 0.038 0.300
Te 0.723 0.962 0.700

=====

3.
Here is Hf4Sb2Te5 after structural relaxation from Alexandria. Energies are from PBE.

Crystal system: monoclinic
Final energy (eV per atom): -6.1924
Formation energy (no corrections) (eV/atom): -0.3954

abc: 3.815 8.637 11.246
angles: 99.63 99.77 90.00
Fractional coordinates of all 11 atoms:
Hf 0.574 0.530 0.148
Hf 0.999 0.750 0.998
Hf 0.426 0.470 0.852
Hf 0.001 0.250 0.002
Sb 0.726 0.606 0.451
Sb 0.274 0.394 0.549
Te 0.126 0.780 0.253
Te 0.874 0.220 0.747
Te 0.128 0.329 0.256
Te 0.500 0.000 0.000
Te 0.872 0.671 0.744

=====

4.
Here is GdPu2Zr after structural relaxation from Alexandria. Energies are from PBE.

E_form (eV per atom): 0.17
Relative energy among the computed polymorphs (meV per atom): 0
Crystal system: tetragonal
Final energy (eV per atom): -12.6499

abc: 3.317 3.317 9.691
angles: 90.00 90.00 90.00
Last column: magnetic moment on the atom in μB.
Fractional coordinates of all 4 atoms:
Gd 0.500 0.500 0.500  7.29
Zr 0.500 0.500 0.000  -0.03
Pu 0.000 0.000 0.769  5.39
Pu 0.000 0.000 0.231  5.39

=====

5.
Here is Pm3In2H after structural relaxation from Alexandria. Energies are from PBE.

Crystal system: monoclinic
Final energy (eV per atom): -4.2077

abc: 6.488 6.676 7.930
angles: 98.57 114.15 90.00
Fractional coordinates of all 12 atoms:
Pm 0.417 0.250 0.000
Pm 0.583 0.750 0.000
Pm 0.028 0.110 0.257
Pm 0.771 0.390 0.743
Pm 0.229 0.610 0.257
Pm 0.972 0.890 0.743
In 0.782 0.551 0.361
In 0.580 0.051 0.361
In 0.420 0.949 0.639
In 0.218 0.449 0.639
H 0.942 0.750 0.000
H 0.058 0.250 0.000

=====

6.
Here is CeSn5 after structural relaxation from Alexandria. Energies are from PBE.

E_form (eV per atom): -0.26
Crystal system: orthorhombic
Final energy (eV per atom): -4.5833

abc: 4.491 4.783 7.940
angles: 107.53 90.00 90.00
Last column: magnetic moment on the atom in μB.
Fractional coordinates of all 6 atoms:
Sn 0.000 0.658 0.315  0.01
Sn 0.000 0.342 0.685  0.01
Sn 0.500 0.500 0.000  0.00
Sn 0.500 0.173 0.347  0.00
Sn 0.500 0.827 0.653  0.00
Ce 0.000 0.000 0.000  0.65

=====

7.
Here is Cs3RbNa2 after structural relaxation from Alexandria. Energies are from PBE.

E_form (eV per atom): 0.03
Crystal system: monoclinic
Final energy (eV per atom): -1.0005

abc: 7.464 15.441 11.284
angles: 127.59 90.00 103.99
Fractional coordinates of all 12 atoms:
Cs 0.323 0.646 0.611
Cs 0.953 0.907 0.708
Cs 0.617 0.233 0.710
Cs 0.383 0.767 0.290
Cs 0.047 0.093 0.292
Cs 0.677 0.354 0.389
Rb 0.833 0.667 0.946
Rb 0.167 0.333 0.054
Na 0.535 0.070 0.919
Na 0.465 0.930 0.081
Na 0.779 0.557 0.229
Na 0.221 0.443 0.771

=====

8.
Here is Sm2Al3Si after structural relaxation from Alexandria. Energies are from PBE.

Crystal system: orthorhombic
Final energy (eV per atom): -4.9057
Formation energy (no corrections) (eV/atom): -0.5575

abc: 4.112 4.316 7.466
angles: 90.00 90.00 90.00
Fractional coordinates of all 6 atoms:
Sm 0.000 0.500 0.010
Sm 0.000 0.000 0.492
Al 0.500 0.000 0.832
Al 0.500 0.000 0.170
Al 0.500 0.500 0.662
Si 0.500 0.500 0.334

=====

Calculated density per entry: 7.7; 5.5; 7.4; 11.5; 7.1; 7.5; 1.8; 5.1 g/cm3
Fermi-level density of states per entry: 10.6; 6.9; 4.6; 12.8; 3.2; 6.3; 4.3; 2.3 states/eV/f.u.